Material: Ca2TlI5
Method: DFT, GGA-PBE
State: relaxed

calculated volume = 40.25 A^3/atom
raw formation energy = -1.2849 eV per atom
SG = Immm

a b c (Å): 4.754 8.097 9.592
angles (deg): 114.97 104.35 90.00
Fractional positions:
Ca 0.814 0.314 0.627
I 0.653 0.389 0.306
Tl 0.000 0.000 0.000
I 0.000 0.500 0.000
Ca 0.186 0.686 0.373
I 0.347 0.083 0.694
I 0.347 0.611 0.694
I 0.653 0.917 0.306



Material: CaTlI3
Method: DFT, GGA-PBE
State: relaxed

calculated volume = 46.43 A^3/atom
raw formation energy = -1.2194 eV per atom
SG = P2_1/m

a b c (Å): 4.624 10.846 9.425
angles (deg): 100.85 90.00 90.00
Fractional positions:
I 0.250 0.698 0.041
I 0.750 0.027 0.309
I 0.750 0.302 0.959
I 0.250 0.341 0.570
Ca 0.250 0.841 0.361
Tl 0.750 0.563 0.796
Ca 0.750 0.159 0.639
I 0.750 0.659 0.430
I 0.250 0.973 0.691
Tl 0.250 0.437 0.204



Material: CaTlI2
Method: DFT, GGA-PBE
State: relaxed

calculated volume = 38.77 A^3/atom
raw formation energy = -0.8654 eV per atom
energy relative to the lowest polymorph listed for this composition = 0.000 eV per atom
SG = P4/mmm

a b c (Å): 3.875 3.875 10.330
angles (deg): 90.00 90.00 90.00
Fractional positions:
I 0.000 0.000 0.683
I 0.000 0.000 0.317
Ca 0.500 0.500 0.500
Tl 0.500 0.500 0.000



Material: CaTlI2
Method: DFT, GGA-PBE
State: relaxed

calculated volume = 41.65 A^3/atom
raw formation energy = -0.8346 eV per atom
energy relative to the lowest polymorph listed for this composition = 0.031 eV per atom
SG = I-42d

a b c (Å): 9.194 9.194 7.603
angles (deg): 52.80 52.80 90.00
Last column: magnetic moment on the atom in μB.
Fractional positions:
Tl 0.000 0.000 0.000  0.14
I 0.176 0.625 0.250  0.02
I 0.574 0.125 0.250  0.03
Ca 0.250 0.750 0.500  0.09
Ca 0.500 0.500 0.000  0.09
I 0.875 0.824 0.750  0.02
Tl 0.750 0.250 0.500  0.14
I 0.375 0.426 0.750  0.03



Material: CaTlI3
Method: DFT, GGA-PBE
State: relaxed

calculated volume = 41.26 A^3/atom
raw formation energy = -1.2264 eV per atom
SG = P2_1/m

a b c (Å): 4.583 7.985 11.770
angles (deg): 90.00 90.00 106.69
Fractional positions:
I 0.928 0.857 0.000
I 0.364 0.728 0.697
I 0.636 0.272 0.803
Ca 0.000 0.000 0.250
I 0.636 0.272 0.197
Ca 0.000 0.000 0.750
Tl 0.259 0.519 0.000
I 0.364 0.728 0.303
I 0.072 0.143 0.500
Tl 0.741 0.481 0.500



Material: CaTmTlI6
Method: DFT, GGA-PBE
State: relaxed

calculated volume = 46.08 A^3/atom
raw formation energy = -1.2943 eV per atom
SG = P-31c

a b c (Å): 7.943 7.943 15.182
angles (deg): 90.00 90.00 120.00
Fractional positions:
I 0.627 0.640 0.634
Tm 0.333 0.667 0.750
Ca 0.333 0.667 0.250
I 0.373 0.360 0.366
I 0.013 0.373 0.634
I 0.640 0.013 0.366
Tl 0.000 0.000 0.500
Ca 0.667 0.333 0.750
I 0.360 0.987 0.634
I 0.013 0.640 0.866
I 0.627 0.987 0.866
I 0.373 0.013 0.134
Tl 0.000 0.000 0.000
I 0.987 0.360 0.134
I 0.987 0.627 0.366
I 0.640 0.627 0.134
Tm 0.667 0.333 0.250
I 0.360 0.373 0.866



Material: CaUTlI6
Method: DFT, GGA-PBE
State: relaxed

calculated volume = 48.14 A^3/atom
raw formation energy = -1.0409 eV per atom
SG = P-31c

a b c (Å): 8.058 8.058 15.413
angles (deg): 90.00 90.00 120.00
Last column: magnetic moment on the atom in μB.
Fractional positions:
I 0.637 0.638 0.633  -0.01
I 0.362 0.999 0.633  -0.01
I 0.999 0.637 0.367  -0.01
I 0.999 0.362 0.133  -0.01
I 0.363 0.362 0.367  -0.01
Tl 0.000 0.000 0.500  0.00
I 0.362 0.363 0.867  -0.01
U 0.667 0.333 0.250  2.92
Tl 0.000 0.000 0.000  0.00
Ca 0.667 0.333 0.750  0.00
I 0.637 0.999 0.867  -0.01
I 0.638 0.637 0.133  -0.01
I 0.638 0.001 0.367  -0.01
I 0.363 0.001 0.133  -0.01
I 0.001 0.363 0.633  -0.01
U 0.333 0.667 0.750  2.92
Ca 0.333 0.667 0.250  0.00
I 0.001 0.638 0.867  -0.01



Material: CaYTlI6
Method: DFT, GGA-PBE
State: relaxed

calculated volume = 46.54 A^3/atom
raw formation energy = -1.3094 eV per atom
SG = P-31c

a b c (Å): 7.977 7.977 15.201
angles (deg): 90.00 90.00 120.00
Fractional positions:
Y 0.333 0.667 0.750
I 0.991 0.629 0.367
I 0.991 0.361 0.133
I 0.361 0.991 0.633
Tl 0.000 0.000 0.500
I 0.629 0.991 0.867
Ca 0.333 0.667 0.250
Ca 0.667 0.333 0.750
I 0.371 0.361 0.367
I 0.009 0.639 0.867
I 0.371 0.009 0.133
I 0.629 0.639 0.633
Tl 0.000 0.000 0.000
Y 0.667 0.333 0.250
I 0.639 0.629 0.133
I 0.009 0.371 0.633
I 0.639 0.009 0.367
I 0.361 0.371 0.867



Repeat the third record exactly.
Material: CaTlI2
Method: DFT, GGA-PBE
State: relaxed

calculated volume = 38.77 A^3/atom
raw formation energy = -0.8654 eV per atom
energy relative to the lowest polymorph listed for this composition = 0.000 eV per atom
SG = P4/mmm

a b c (Å): 3.875 3.875 10.330
angles (deg): 90.00 90.00 90.00
Fractional positions:
I 0.000 0.000 0.683
I 0.000 0.000 0.317
Ca 0.500 0.500 0.500
Tl 0.500 0.500 0.000